Entry 1:
# Tc2P

An optimized crystal structure of Tc2P (GGA-PBE, Alexandria via LeMat-Bulk).

The total energy is -104.1 eV/cell. As for the formation energy: 0.0430 eV/atom.

The structure belongs to space group Pa-3 (No. 205); the cell edges are 5.664, 5.664 and 5.664 Å and the angles 90.00°, 90.00° and 90.00°. Symmetry generates all atoms from Tc at (0.123, 0.123, 0.123) and P at (0.000, 0.000, 0.500).

=====

Entry 2:
# MgMoPd

An optimized crystal structure of MgMoPd (GGA-PBE, Alexandria via LeMat-Bulk).

The total energy is -35.4 eV/cell. As for the formation energy: -0.0206 eV/atom.

The structure belongs to space group Pm (No. 6); the cell edges are 4.702, 3.231 and 6.879 Å and the angles 90.00°, 104.16° and 90.00°. Symmetry generates all atoms from Mg at (0.000, 0.000, 0.000), Mg at (0.090, 0.500, 0.363), Mo at (0.402, 0.000, 0.720), Mo at (0.496, 0.500, 0.995), Pd at (0.572, 0.000, 0.341) and Pd at (0.877, 0.500, 0.686).

=====

Entry 3:
# Ce2Fe3TcB12

An optimized crystal structure of Ce2Fe3TcB12 (GGA-PBE, Alexandria via LeMat-Bulk).

The total energy is -380.7 eV/cell. As for the formation energy: 0.0466 eV/atom.

The structure belongs to space group R-3m (No. 166, hexagonal axes); the cell edges are 5.4213, 5.4213 and 23.0578 Å and the angles 90.00°, 90.00° and 120.00°. Symmetry generates all atoms from Ce at (0.0000, 0.0000, 0.1424), Fe at (0.0000, 0.5000, 0.0000), Tc at (0.0000, 0.0000, 0.5000), B at (0.0844, 0.5422, 0.0892) and B at (0.1062, 0.2124, 0.7365).

=====

Entry 4:
# HgTeF4

An optimized crystal structure of HgTeF4 (GGA-PBE, Alexandria via LeMat-Bulk).

The total energy is -84.8 eV/cell. As for the raw formation energy: -1712 meV per atom.

The structure belongs to space group C2/c (No. 15); the cell edges are 9.038, 11.991 and 5.524 Å and the angles 90.00°, 121.78° and 90.00°. Symmetry generates all atoms from Hg at (0.000, 0.070, 0.250), Te at (0.000, 0.288, 0.750), F at (0.109, 0.395, 0.645) and F at (0.203, 0.316, 0.146).

=====

no.,calculated density (g/cm3)
1,8.30
2,7.43
3,5.73
4,5.27